Entry 1:
A plane-wave DFT calculation with PBE was carried out for crystalline SrAsSe2 at its relaxed geometry.

Results
The calculation puts the mass density at 4.13 g cm⁻³. Its formation energy without anion corrections is -543 meV/atom. As for the total moment: 0.1 μB/cell. The calculation puts the energy at -15.5 eV for the cell shown. Its space-group type is Cmmm.

Geometry as POSCAR:
```
SrAsSe2
1.0
2.0521 -4.0131 0.0000
2.0521 4.0131 0.0000
0.0000 0.0000 7.8300
Sr As Se
1 1 2
Cartesian
0.0000 0.0000 0.0000
0.0000 0.0000 3.9150
2.0521 0.0000 2.1523
2.0521 0.0000 5.6777
```

Entry 2:
A plane-wave DFT calculation with PBE was carried out for crystalline Sr2AsSe at its relaxed geometry.

Results
The calculation puts the mass density at 4.31 g cm⁻³. Its formation energy without anion corrections is -1310 meV/atom. The calculation puts the excess energy over the best structure of this formula in the dataset at 38.8 kJ/mol of formula units. As for the total moment: 0.0 μB/cell. The calculation puts the energy at -16.7 eV for the cell shown. Its space-group type is Imm2.

Geometry as POSCAR:
```
Sr2AsSe
1.0
-1.9575 2.0185 8.0188
1.9575 -2.0185 8.0188
1.9575 2.0185 -8.0188
Sr As Se
2 1 1
Cartesian
0.0000 0.0000 0.0000
0.0000 2.0185 3.8224
0.0000 0.0000 6.3648
1.9575 0.0000 2.4350
```

Entry 3:
A plane-wave DFT calculation with PBE was carried out for crystalline SrAsSe2 at its relaxed geometry.

Results
The calculation puts the mass density at 4.88 g cm⁻³. Its formation energy without anion corrections is -836 meV/atom. As for the total moment: 0.0 μB/cell. The calculation puts the energy at -16.6 eV for the cell shown. Its space-group type is P2/m.

Geometry as POSCAR:
```
SrAsSe2
1.0
3.9412 0.0000 0.0000
0.0000 3.8239 0.0000
-0.0239 0.0000 7.2347
Sr As Se
1 1 2
Cartesian
0.0000 0.0000 0.0000
1.9587 0.0000 3.6174
1.9470 1.9120 5.5081
1.9704 1.9120 1.7266
```

Entry 4:
A plane-wave DFT calculation with PBE was carried out for crystalline SrAsSe2 at its relaxed geometry.

Results
The calculation puts the mass density at 3.65 g cm⁻³. Its formation energy without anion corrections is -529 meV/atom. As for the total moment: 0.0 μB/cell. The calculation puts the energy at -15.4 eV for the cell shown. Its space-group type is R-3m.

Geometry as POSCAR:
```
SrAsSe2
1.0
2.2430 1.2950 8.3664
-2.2430 1.2950 8.3664
0.0000 -2.5900 8.3664
Sr As Se
1 1 2
Cartesian
0.0000 0.0000 0.0000
0.0000 0.0000 12.5496
0.0000 0.0000 10.0727
0.0000 0.0000 15.0266
```

Entry 5:
A plane-wave DFT calculation with PBE was carried out for crystalline SrAsSe3 at its relaxed geometry.

Results
The calculation puts the mass density at 4.91 g cm⁻³. Its formation energy without anion corrections is -621 meV/atom. As for the total moment: 0.0 μB/cell. The calculation puts the energy at -19.9 eV for the cell shown. Its space-group type is Pm-3m.

Geometry as POSCAR:
```
SrAsSe3
1.0
5.1314 0.0000 0.0000
0.0000 5.1314 0.0000
0.0000 0.0000 5.1314
Sr As Se
1 1 3
Cartesian
0.0000 0.0000 0.0000
2.5657 2.5657 2.5657
0.0000 2.5657 2.5657
2.5657 0.0000 2.5657
2.5657 2.5657 0.0000
```

Entry 6:
A plane-wave DFT calculation with PBE was carried out for crystalline SrAsSe2 at its relaxed geometry.

Results
The calculation puts the mass density at 5.59 g cm⁻³. Its formation energy without anion corrections is -681 meV/atom. As for the total moment: 0.0 μB/cell. The calculation puts the energy at -16.0 eV for the cell shown. Its space-group type is P4/mmm.

Geometry as POSCAR:
```
SrAsSe2
1.0
5.0460 0.0000 0.0000
0.0000 5.0460 0.0000
0.0000 0.0000 3.7360
Sr As Se
1 1 2
Cartesian
0.0000 0.0000 0.0000
2.5230 2.5230 0.0000
0.0000 2.5230 1.8680
2.5230 0.0000 1.8680
```

Entry 7:
A plane-wave DFT calculation with PBE was carried out for crystalline SrAsSe2 at its relaxed geometry.

Results
The calculation puts the mass density at 4.82 g cm⁻³. Its formation energy without anion corrections is -619 meV/atom. As for the total moment: 0.0 μB/cell. The calculation puts the energy at -15.8 eV for the cell shown. Its space-group type is C2/m.

Geometry as POSCAR:
```
SrAsSe2
1.0
3.1403 -4.1932 0.0000
3.1403 4.1932 0.0000
-3.1100 0.0000 4.1916
Sr As Se
1 1 2
Cartesian
0.0000 0.0000 0.0000
3.1403 0.0000 0.0000
0.0151 2.0966 2.0958
0.0151 -2.0966 2.0958
```

Entry 8:
A plane-wave DFT calculation with PBE was carried out for crystalline Sr4AsSe at its relaxed geometry.

Results
The calculation puts the mass density at 4.00 g cm⁻³. Its formation energy without anion corrections is 69 meV/atom. As for the total moment: 0.0 μB/cell. The calculation puts the energy at -14.4 eV for the cell shown. Its space-group type is F-43m.

Geometry as POSCAR:
```
Sr4AsSe
1.0
0.0000 4.7141 4.7141
4.7141 0.0000 4.7141
4.7141 4.7141 0.0000
Sr As Se
4 1 1
Cartesian
1.1740 1.1740 1.1740
3.5401 3.5401 1.1740
3.5401 1.1740 3.5401
1.1740 3.5401 3.5401
7.0712 7.0712 7.0712
4.7141 4.7141 4.7141
```